<a>
Density functional theory data (PBE) for an optimized crystal structure of HfGeAs2Br.

POSCAR file:
```
HfGeAs2Br
1.0
5.216 0.000 0.000
0.000 5.216 0.000
0.000 0.000 5.131
Hf Ge As Br
1 1 2 1
direct
0.000 0.000 0.000
0.500 0.500 0.500
0.000 0.500 0.000
0.500 0.000 0.000
0.000 0.000 0.500
```

Computed properties:
D(E_F) (states/eV/cell): 3.21
Space group: P4/mmm
Total magnetization (μB per formula unit): 0.000


<b>
Density functional theory data (PBE) for an optimized crystal structure of HfGeAs2Br.

POSCAR file:
```
HfGeAs2Br
1.0
4.955 0.000 0.000
0.000 4.955 0.000
0.000 0.000 4.960
Hf Ge As Br
1 1 2 1
direct
0.000 0.000 0.000
0.500 0.500 0.000
0.000 0.500 0.500
0.500 0.000 0.500
0.500 0.500 0.500
```

Computed properties:
D(E_F) (states/eV/cell): 2.43
Space group: P4/mmm
Total magnetization (μB per formula unit): 0.000


The structure with the greatest stability is <a>.


<a>
Density functional theory data (PBE) for an optimized crystal structure of HfGeAsBr2.

POSCAR file:
```
HfGeAsBr2
1.0
5.049 0.000 0.000
0.000 5.049 0.000
0.000 0.000 5.239
Hf Ge As Br
1 1 1 2
direct
0.000 0.000 0.000
0.500 0.500 0.500
0.500 0.500 0.000
0.000 0.500 0.500
0.500 0.000 0.500
```

Computed properties:
D(E_F) (states/eV/cell): 3.38
Space group: P4/mmm
Total magnetization (μB per formula unit): 1.143


<b>
Density functional theory data (PBE) for an optimized crystal structure of HfGeAsBr2.

POSCAR file:
```
HfGeAsBr2
1.0
5.170 0.000 0.000
0.000 5.170 0.000
0.000 0.000 5.361
Hf Ge As Br
1 1 1 2
direct
0.000 0.000 0.000
0.500 0.500 0.500
0.000 0.000 0.500
0.000 0.500 0.000
0.500 0.000 0.000
```

Computed properties:
D(E_F) (states/eV/cell): 2.90
Space group: P4/mmm
Total magnetization (μB per formula unit): 0.828


The structure with the greatest stability is <b>.


<a>
Density functional theory data (PBE) for an optimized crystal structure of HgGeAs2Br.

POSCAR file:
```
HgGeAs2Br
1.0
5.077 0.000 0.000
0.000 5.077 0.000
0.000 0.000 5.353
Hg Ge As Br
1 1 2 1
direct
0.000 0.000 0.000
0.500 0.500 0.500
0.000 0.500 0.500
0.500 0.000 0.500
0.500 0.500 0.000
```

Computed properties:
D(E_F) (states/eV/cell): 3.53
Space group: P4/mmm
Total magnetization (μB per formula unit): 1.275


<b>
Density functional theory data (PBE) for an optimized crystal structure of HgGeAs2Br.

POSCAR file:
```
HgGeAs2Br
1.0
5.153 0.000 0.000
0.000 5.153 0.000
0.000 0.000 5.734
Hg Ge As Br
1 1 2 1
direct
0.000 0.000 0.000
0.500 0.500 0.500
0.000 0.500 0.000
0.500 0.000 0.000
0.000 0.000 0.500
```

Computed properties:
D(E_F) (states/eV/cell): 3.10
Space group: P4/mmm
Total magnetization (μB per formula unit): 0.955


The structure with the greatest stability is <a>.


<a>
Density functional theory data (PBE) for an optimized crystal structure of GeAs2IBr.

POSCAR file:
```
GeAs2IBr
1.0
5.180 0.000 0.000
0.000 5.180 0.000
0.000 0.000 5.124
Ge As I Br
1 2 1 1
direct
0.000 0.000 0.000
0.000 0.500 0.000
0.500 0.000 0.000
0.500 0.500 0.500
0.000 0.000 0.500
```

Computed properties:
D(E_F) (states/eV/cell): 4.81
Space group: P4/mmm
Total magnetization (μB per formula unit): 0.303


<b>
Density functional theory data (PBE) for an optimized crystal structure of GeAs2IBr.

POSCAR file:
```
GeAs2IBr
1.0
5.451 0.000 0.000
0.000 5.451 0.000
0.000 0.000 5.525
Ge As I Br
1 2 1 1
direct
0.000 0.000 0.000
0.000 0.500 0.500
0.500 0.000 0.500
0.500 0.500 0.500
0.500 0.500 0.000
```

Computed properties:
D(E_F) (states/eV/cell): 6.81
Space group: P4/mmm
Total magnetization (μB per formula unit): 0.069


The structure with the greatest stability is <a>.


<a>
Density functional theory data (PBE) for an optimized crystal structure of GeAsIBr2.

POSCAR file:
```
GeAsIBr2
1.0
5.092 0.000 0.000
0.000 5.092 0.000
0.000 0.000 5.670
Ge As I Br
1 1 1 2
direct
0.000 0.000 0.000
0.000 0.000 0.500
0.500 0.500 0.500
0.000 0.500 0.000
0.500 0.000 0.000
```

Computed properties:
D(E_F) (states/eV/cell): 3.03
Space group: P4/mmm
Total magnetization (μB per formula unit): 0.000


<b>
Density functional theory data (PBE) for an optimized crystal structure of GeAsIBr2.

POSCAR file:
```
GeAsIBr2
1.0
5.610 0.000 0.000
0.000 5.610 0.000
0.000 0.000 5.665
Ge As I Br
1 1 1 2
direct
0.000 0.000 0.000
0.500 0.500 0.000
0.500 0.500 0.500
0.000 0.500 0.500
0.500 0.000 0.500
```

Computed properties:
D(E_F) (states/eV/cell): 4.32
Space group: P4/mmm
Total magnetization (μB per formula unit): 0.000


The structure with the greatest stability is <a>.


<a>
Density functional theory data (PBE) for an optimized crystal structure of GeAs2IrBr.

POSCAR file:
```
GeAs2IrBr
1.0
4.887 0.000 0.000
0.000 4.887 0.000
0.000 0.000 4.883
Ge As Ir Br
1 2 1 1
direct
0.000 0.000 0.000
0.000 0.500 0.000
0.500 0.000 0.000
0.500 0.500 0.500
0.000 0.000 0.500
```

Computed properties:
D(E_F) (states/eV/cell): 3.92
Space group: P4/mmm
Total magnetization (μB per formula unit): 0.988


<b>
Density functional theory data (PBE) for an optimized crystal structure of GeAs2IrBr.

POSCAR file:
```
GeAs2IrBr
1.0
4.743 0.000 0.000
0.000 4.743 0.000
0.000 0.000 5.478
Ge As Ir Br
1 2 1 1
direct
0.000 0.000 0.000
0.000 0.500 0.500
0.500 0.000 0.500
0.500 0.500 0.500
0.500 0.500 0.000
```

Computed properties:
D(E_F) (states/eV/cell): 4.37
Space group: P4/mmm
Total magnetization (μB per formula unit): 0.000


The structure with the greatest stability is <b>.


<a>
Density functional theory data (PBE) for an optimized crystal structure of GeAsIrBr2.

POSCAR file:
```
GeAsIrBr2
1.0
4.990 0.000 0.000
0.000 4.990 0.000
0.000 0.000 5.293
Ge As Ir Br
1 1 1 2
direct
0.000 0.000 0.000
0.000 0.000 0.500
0.500 0.500 0.500
0.000 0.500 0.000
0.500 0.000 0.000
```

Computed properties:
D(E_F) (states/eV/cell): 9.14
Space group: P4/mmm
Total magnetization (μB per formula unit): 1.819


<b>
Density functional theory data (PBE) for an optimized crystal structure of GeAsIrBr2.

POSCAR file:
```
GeAsIrBr2
1.0
5.269 0.000 0.000
0.000 5.269 0.000
0.000 0.000 4.657
Ge As Ir Br
1 1 1 2
direct
0.000 0.000 0.000
0.500 0.500 0.000
0.500 0.500 0.500
0.000 0.500 0.500
0.500 0.000 0.500
```

Computed properties:
D(E_F) (states/eV/cell): 4.15
Space group: P4/mmm
Total magnetization (μB per formula unit): 0.838


The structure with the greatest stability is <b>.


<a>
Density functional theory data (PBE) for an optimized crystal structure of KGeAsBr2.

POSCAR file:
```
KGeAsBr2
1.0
5.641 0.000 0.000
0.000 5.641 0.000
0.000 0.000 5.176
K Ge As Br
1 1 1 2
direct
0.000 0.000 0.000
0.500 0.500 0.500
0.500 0.500 0.000
0.000 0.500 0.500
0.500 0.000 0.500
```

Computed properties:
D(E_F) (states/eV/cell): 2.93
Space group: P4/mmm
Total magnetization (μB per formula unit): 1.659


<b>
Density functional theory data (PBE) for an optimized crystal structure of KGeAsBr2.

POSCAR file:
```
KGeAsBr2
1.0
5.868 0.000 0.000
0.000 5.868 0.000
0.000 0.000 6.087
K Ge As Br
1 1 1 2
direct
0.000 0.000 0.000
0.500 0.500 0.500
0.000 0.000 0.500
0.000 0.500 0.000
0.500 0.000 0.000
```

Computed properties:
D(E_F) (states/eV/cell): 3.84
Space group: P4/mmm
Total magnetization (μB per formula unit): 2.012


The structure with the greatest stability is <a>.


<a>
Density functional theory data (PBE) for an optimized crystal structure of LaGeAs2Br.

POSCAR file:
```
LaGeAs2Br
1.0
5.744 0.000 0.000
0.000 5.744 0.000
0.000 0.000 5.620
La Ge As Br
1 1 2 1
direct
0.000 0.000 0.000
0.500 0.500 0.500
0.000 0.500 0.000
0.500 0.000 0.000
0.000 0.000 0.500
```

Computed properties:
D(E_F) (states/eV/cell): 6.12
Space group: P4/mmm
Total magnetization (μB per formula unit): 0.011


<b>
Density functional theory data (PBE) for an optimized crystal structure of LaGeAs2Br.

POSCAR file:
```
LaGeAs2Br
1.0
4.997 0.000 0.000
0.000 4.997 0.000
0.000 0.000 5.250
La Ge As Br
1 1 2 1
direct
0.000 0.000 0.000
0.500 0.500 0.500
0.000 0.500 0.500
0.500 0.000 0.500
0.500 0.500 0.000
```

Computed properties:
D(E_F) (states/eV/cell): 1.61
Space group: P4/mmm
Total magnetization (μB per formula unit): 0.000


The structure with the greatest stability is <b>.


<a>
Density functional theory data (PBE) for an optimized crystal structure of LiGeAs2Br.

POSCAR file:
```
LiGeAs2Br
1.0
4.915 0.000 0.000
0.000 4.915 0.000
0.000 0.000 5.983
Li Ge As Br
1 1 2 1
direct
0.000 0.000 0.000
0.500 0.500 0.500
0.000 0.500 0.500
0.500 0.000 0.500
0.500 0.500 0.000
```

Computed properties:
D(E_F) (states/eV/cell): 3.95
Space group: P4/mmm
Total magnetization (μB per formula unit): 0.653


<b>
Density functional theory data (PBE) for an optimized crystal structure of LiGeAs2Br.

POSCAR file:
```
LiGeAs2Br
1.0
4.588 0.000 0.000
0.000 4.588 0.000
0.000 0.000 5.175
Li Ge As Br
1 1 2 1
direct
0.000 0.000 0.000
0.500 0.500 0.500
0.000 0.500 0.000
0.500 0.000 0.000
0.000 0.000 0.500
```

Computed properties:
D(E_F) (states/eV/cell): 2.75
Space group: P4/mmm
Total magnetization (μB per formula unit): 0.000


The structure with the greatest stability is <a>.


<a>
Density functional theory data (PBE) for an optimized crystal structure of MnGeAs2Br.

POSCAR file:
```
MnGeAs2Br
1.0
4.664 0.000 0.000
0.000 4.664 0.000
0.000 0.000 5.273
Mn Ge As Br
1 1 2 1
direct
0.000 0.000 0.000
0.500 0.500 0.500
0.000 0.500 0.000
0.500 0.000 0.000
0.000 0.000 0.500
```

Computed properties:
D(E_F) (states/eV/cell): 4.02
Space group: P4/mmm
Total magnetization (μB per formula unit): 2.762


<b>
Density functional theory data (PBE) for an optimized crystal structure of MnGeAs2Br.

POSCAR file:
```
MnGeAs2Br
1.0
4.982 0.000 0.000
0.000 4.982 0.000
0.000 0.000 5.228
Mn Ge As Br
1 1 2 1
direct
0.000 0.000 0.000
0.500 0.500 0.500
0.000 0.500 0.500
0.500 0.000 0.500
0.500 0.500 0.000
```

Computed properties:
D(E_F) (states/eV/cell): 3.02
Space group: P4/mmm
Total magnetization (μB per formula unit): 4.153


The structure with the greatest stability is <a>.


<a>
Density functional theory data (PBE) for an optimized crystal structure of MnGeAsBr2.

POSCAR file:
```
MnGeAsBr2
1.0
5.186 0.000 0.000
0.000 5.186 0.000
0.000 0.000 5.281
Mn Ge As Br
1 1 1 2
direct
0.000 0.000 0.000
0.500 0.500 0.500
0.500 0.500 0.000
0.000 0.500 0.500
0.500 0.000 0.500
```

Computed properties:
D(E_F) (states/eV/cell): 3.15
Space group: P4/mmm
Total magnetization (μB per formula unit): 4.478


<b>
Density functional theory data (PBE) for an optimized crystal structure of MnGeAsBr2.

POSCAR file:
```
MnGeAsBr2
1.0
4.958 0.000 0.000
0.000 4.958 0.000
0.000 0.000 5.153
Mn Ge As Br
1 1 1 2
direct
0.000 0.000 0.000
0.500 0.500 0.500
0.000 0.000 0.500
0.000 0.500 0.000
0.500 0.000 0.000
```

Computed properties:
D(E_F) (states/eV/cell): 2.57
Space group: P4/mmm
Total magnetization (μB per formula unit): 4.077


The structure with the greatest stability is <b>.